Density functional theory data (PBE) for a geometry-optimized KSb2Se4 structure.

The formation energy (no corrections) comes out at -429 meV/atom. Its crystal system is orthorhombic.

The structure belongs to space group Cmcm (No. 63); the cell edges are 4.1413, 13.5023 and 14.5905 Å and the angles 90.00°, 90.00° and 90.00°. Symmetry generates all atoms from K at (0.0000, 0.1008, 0.2500), Sb at (0.0000, 0.3635, 0.0690), Se at (0.0000, 0.0000, 0.0000), Se at (0.0000, 0.2716, 0.6056) and Se at (0.0000, 0.4153, 0.2500).



Density functional theory data (PBE) for a geometry-optimized Pu2Hg13 structure.

Its crystal system is trigonal. For the calculated formation energy, the calculation gives 0.15 eV/f.u.

The structure belongs to space group R-3m (No. 166, hexagonal axes); the cell edges are 8.3117, 8.3117 and 20.8343 Å and the angles 90.00°, 90.00° and 120.00°. Symmetry generates all atoms from Pu at (0.0000, 0.0000, 0.1482), Hg at (0.0000, 0.0000, 0.0000), Hg at (0.0755, 0.5377, 0.3936) and Hg at (0.0911, 0.5455, 0.2361).



Density functional theory data (PBE) for a geometry-optimized TbNiGe2Ir structure.

Its crystal system is tetragonal. For the calculated formation energy, the calculation gives -3.40 eV/f.u.

The structure belongs to space group I-4m2 (No. 119); the cell edges are 4.0976, 4.0976 and 10.2963 Å and the angles 90.00°, 90.00° and 90.00°. Symmetry generates all atoms from Tb at (0.0000, 0.0000, 0.0000), Ni at (0.0000, 0.5000, 0.7500), Ge at (0.0000, 0.0000, 0.3780) and Ir at (0.0000, 0.5000, 0.2500).



Density functional theory data (PBE) for a geometry-optimized SnTe4Pt structure.

The formation energy (no corrections) comes out at -257 meV/atom. Its crystal system is monoclinic.

The structure belongs to space group P2/m (No. 10); the cell edges are 5.5966, 4.1788 and 7.3111 Å and the angles 90.00°, 90.75° and 90.00°. Symmetry generates all atoms from Sn at (0.0000, 0.0000, 0.0000), Te at (0.2610, 0.0000, 0.3608), Te at (0.2916, 0.5000, 0.8067) and Pt at (0.0000, 0.5000, 0.5000).



Density functional theory data (PBE) for a geometry-optimized LiB2C2 structure.

Its crystal system is monoclinic. For the calculated formation energy, the calculation gives -0.34 eV/f.u.

The structure belongs to space group P2_1/m (No. 11); the cell edges are 4.7652, 2.7526 and 12.4569 Å and the angles 90.00°, 94.75° and 90.00°. Symmetry generates all atoms from Li at (0.2006, 0.2500, 0.2296), Li at (0.2501, 0.2500, 0.5011), B at (0.0177, 0.7500, 0.0665), B at (0.1220, 0.7500, 0.6466), B at (0.3862, 0.7500, 0.3595), B at (0.4781, 0.7500, 0.9304), C at (0.0485, 0.7500, 0.3547), C at (0.1499, 0.7500, 0.9344), C at (0.3528, 0.7500, 0.0694) and C at (0.4508, 0.7500, 0.6396).



Density functional theory data (PBE) for a geometry-optimized Na2HgN2 structure.

The formation energy (no corrections) comes out at -22 meV/atom. Its crystal system is tetragonal.

The structure belongs to space group P4/mbm (No. 127); the cell edges are 8.3662, 8.3662 and 3.1612 Å and the angles 90.00°, 90.00° and 90.00°. Symmetry generates all atoms from Na at (0.2182, 0.2818, 0.0000), Hg at (0.0000, 0.0000, 0.5000) and N at (0.0487, 0.4513, 0.5000).



| no. | size of the total moment (μB/f.u.) |
| --- | --- |
| 1 | 0.0 |
| 2 | 11.8 |
| 3 | 0.5 |
| 4 | 0.0 |
| 5 | 0.0 |
| 6 | 0.0 |